# 1
The following is a DFT calculation (GGA-PBEsol) of a relaxed structure of FePIrS2.

Structure (CIF):
```
data_FePIrS2
_symmetry_space_group_name_H-M 'P 1'
_symmetry_Int_Tables_number 1
_symmetry_space_group_name_Hall 'P 1'
_cell_length_a 4.3336
_cell_length_b 4.7579
_cell_length_c 4.7579
_cell_angle_alpha 90.00
_cell_angle_beta 90.00
_cell_angle_gamma 90.00
loop_
_atom_site_label
_atom_site_type_symbol
_atom_site_fract_x
_atom_site_fract_y
_atom_site_fract_z
P1 P 0.5000 0.0000 0.0000
S1 S 0.0000 0.0000 0.5000
S2 S 0.0000 0.5000 0.0000
Ir1 Ir 0.0000 0.0000 0.0000
Fe1 Fe 0.5000 0.5000 0.5000
```

Formation energy without anion corrections, eV per formula unit: 4.81
Total magnetization, μB per atom: 0.73

=====

# 2
The following is a DFT calculation (GGA-PBEsol) of a relaxed structure of FeIr2Pb.

Structure (CIF):
```
data_FeIr2Pb
_symmetry_space_group_name_H-M 'P 1'
_symmetry_Int_Tables_number 1
_symmetry_space_group_name_Hall 'P 1'
_cell_length_a 2.9938
_cell_length_b 2.9938
_cell_length_c 7.0766
_cell_angle_alpha 90.00
_cell_angle_beta 90.00
_cell_angle_gamma 90.00
loop_
_atom_site_label
_atom_site_type_symbol
_atom_site_fract_x
_atom_site_fract_y
_atom_site_fract_z
Fe1 Fe 0.5000 0.5000 0.5000
Ir1 Ir 0.0000 0.0000 0.7082
Ir2 Ir 0.0000 0.0000 0.2918
Pb1 Pb 0.5000 0.5000 0.0000
```

DFT formation energy, kJ/mol of formula units: 147
Total magnetization, μB per atom: 0.90

=====

# 3
The following is a DFT calculation (GGA-PBEsol) of a relaxed structure of FeIr4Pb.

Structure (CIF):
```
data_FeIr4Pb
_symmetry_space_group_name_H-M 'P 1'
_symmetry_Int_Tables_number 1
_symmetry_space_group_name_Hall 'P 1'
_cell_length_a 5.2112
_cell_length_b 5.2112
_cell_length_c 5.2112
_cell_angle_alpha 60.00
_cell_angle_beta 60.00
_cell_angle_gamma 60.00
loop_
_atom_site_label
_atom_site_type_symbol
_atom_site_fract_x
_atom_site_fract_y
_atom_site_fract_z
Fe1 Fe 0.0000 0.0000 0.0000
Ir1 Ir 0.3746 0.3746 0.3746
Ir2 Ir 0.3746 0.3746 0.8762
Ir3 Ir 0.8762 0.3746 0.3746
Ir4 Ir 0.3746 0.8762 0.3746
Pb1 Pb 0.7500 0.7500 0.7500
```

DFT formation energy, kJ/mol of formula units: 351
Total magnetization, μB per atom: 0.82

=====

# 4
The following is a DFT calculation (GGA-PBEsol) of a relaxed structure of FeIr2Pb.

Structure (CIF):
```
data_FeIr2Pb
_symmetry_space_group_name_H-M 'P 1'
_symmetry_Int_Tables_number 1
_symmetry_space_group_name_Hall 'P 1'
_cell_length_a 4.0988
_cell_length_b 4.0988
_cell_length_c 3.7296
_cell_angle_alpha 90.00
_cell_angle_beta 90.00
_cell_angle_gamma 90.00
loop_
_atom_site_label
_atom_site_type_symbol
_atom_site_fract_x
_atom_site_fract_y
_atom_site_fract_z
Fe1 Fe 0.0000 0.0000 0.5000
Ir1 Ir 0.0000 0.5000 0.0000
Ir2 Ir 0.5000 0.0000 0.0000
Pb1 Pb 0.5000 0.5000 0.5000
```

DFT formation energy, kJ/mol of formula units: 172
Total magnetization, μB per atom: 0.93

=====

# 5
The following is a DFT calculation (GGA-PBEsol) of a relaxed structure of Fe2IrPb.

Structure (CIF):
```
data_Fe2IrPb
_symmetry_space_group_name_H-M 'P 1'
_symmetry_Int_Tables_number 1
_symmetry_space_group_name_Hall 'P 1'
_cell_length_a 2.9008
_cell_length_b 2.9008
_cell_length_c 8.7442
_cell_angle_alpha 80.45
_cell_angle_beta 80.45
_cell_angle_gamma 60.00
loop_
_atom_site_label
_atom_site_type_symbol
_atom_site_fract_x
_atom_site_fract_y
_atom_site_fract_z
Fe1 Fe 0.2434 0.2434 0.2699
Fe2 Fe 0.7566 0.7566 0.7301
Ir1 Ir 0.5000 0.5000 0.5000
Pb1 Pb 0.0000 0.0000 0.0000
```

DFT formation energy, kJ/mol of formula units: 251
Total magnetization, μB per atom: 1.45

=====

# 6
The following is a DFT calculation (GGA-PBEsol) of a relaxed structure of FeIr2Pb.

Structure (CIF):
```
data_FeIr2Pb
_symmetry_space_group_name_H-M 'P 1'
_symmetry_Int_Tables_number 1
_symmetry_space_group_name_Hall 'P 1'
_cell_length_a 2.9340
_cell_length_b 4.6825
_cell_length_c 4.8956
_cell_angle_alpha 100.10
_cell_angle_beta 90.00
_cell_angle_gamma 108.26
loop_
_atom_site_label
_atom_site_type_symbol
_atom_site_fract_x
_atom_site_fract_y
_atom_site_fract_z
Fe1 Fe 0.5000 0.0000 0.0000
Ir1 Ir 0.7610 0.5220 0.7807
Ir2 Ir 0.2390 0.4780 0.2193
Pb1 Pb 0.0000 0.0000 0.5000
```

DFT formation energy, kJ/mol of formula units: 160
Total magnetization, μB per atom: 0.72

=====

# 7
The following is a DFT calculation (GGA-PBEsol) of a relaxed structure of ZrFe2IrPd.

Structure (CIF):
```
data_ZrFe2IrPd
_symmetry_space_group_name_H-M 'P 1'
_symmetry_Int_Tables_number 1
_symmetry_space_group_name_Hall 'P 1'
_cell_length_a 4.4174
_cell_length_b 4.4174
_cell_length_c 4.8392
_cell_angle_alpha 90.00
_cell_angle_beta 90.00
_cell_angle_gamma 90.00
loop_
_atom_site_label
_atom_site_type_symbol
_atom_site_fract_x
_atom_site_fract_y
_atom_site_fract_z
Ir1 Ir 0.5000 0.5000 0.5000
Zr1 Zr 0.0000 0.0000 0.5000
Pd1 Pd 0.0000 0.0000 0.0000
Fe1 Fe 0.0000 0.5000 0.0000
Fe2 Fe 0.5000 0.0000 0.0000
```

DFT formation energy, kJ/mol of formula units: 606
Total magnetization, μB per atom: 1.18

=====

# 8
The following is a DFT calculation (GGA-PBEsol) of a relaxed structure of FeIrPt2.

Structure (CIF):
```
data_FeIrPt2
_symmetry_space_group_name_H-M 'P 1'
_symmetry_Int_Tables_number 1
_symmetry_space_group_name_Hall 'P 1'
_cell_length_a 2.7117
_cell_length_b 4.7013
_cell_length_c 4.7013
_cell_angle_alpha 110.26
_cell_angle_beta 90.00
_cell_angle_gamma 90.00
loop_
_atom_site_label
_atom_site_type_symbol
_atom_site_fract_x
_atom_site_fract_y
_atom_site_fract_z
Ir1 Ir 0.5000 0.0000 0.0000
Fe1 Fe 0.5000 0.5000 0.5000
Pt1 Pt 0.0000 0.0000 0.5000
Pt2 Pt 0.0000 0.5000 0.0000
```

DFT formation energy, kJ/mol of formula units: -30
Total magnetization, μB per atom: 0.96

=====

# 9
The following is a DFT calculation (GGA-PBEsol) of a relaxed structure of FeIrPt2.

Structure (CIF):
```
data_FeIrPt2
_symmetry_space_group_name_H-M 'P 1'
_symmetry_Int_Tables_number 1
_symmetry_space_group_name_Hall 'P 1'
_cell_length_a 2.7086
_cell_length_b 2.7086
_cell_length_c 7.5902
_cell_angle_alpha 90.00
_cell_angle_beta 90.00
_cell_angle_gamma 90.00
loop_
_atom_site_label
_atom_site_type_symbol
_atom_site_fract_x
_atom_site_fract_y
_atom_site_fract_z
Fe1 Fe 0.5000 0.5000 0.0000
Ir1 Ir 0.5000 0.5000 0.5000
Pt1 Pt 0.0000 0.0000 0.7615
Pt2 Pt 0.0000 0.0000 0.2385
```

DFT formation energy, kJ/mol of formula units: -9
Total magnetization, μB per atom: 0.74

=====

# 10
The following is a DFT calculation (GGA-PBEsol) of a relaxed structure of FeIr2Pt.

Structure (CIF):
```
data_FeIr2Pt
_symmetry_space_group_name_H-M 'P 1'
_symmetry_Int_Tables_number 1
_symmetry_space_group_name_Hall 'P 1'
_cell_length_a 2.6971
_cell_length_b 3.7260
_cell_length_c 5.4215
_cell_angle_alpha 90.00
_cell_angle_beta 90.00
_cell_angle_gamma 90.00
loop_
_atom_site_label
_atom_site_type_symbol
_atom_site_fract_x
_atom_site_fract_y
_atom_site_fract_z
Fe1 Fe 0.5000 0.5000 0.5000
Ir1 Ir 0.0000 0.0000 0.7380
Ir2 Ir 0.0000 0.0000 0.2620
Pt1 Pt 0.5000 0.5000 0.0000
```

DFT formation energy, kJ/mol of formula units: 5
Total magnetization, μB per atom: 0.59

=====

# 11
The following is a DFT calculation (GGA-PBEsol) of a relaxed structure of FeIr2Pt.

Structure (CIF):
```
data_FeIr2Pt
_symmetry_space_group_name_H-M 'P 1'
_symmetry_Int_Tables_number 1
_symmetry_space_group_name_Hall 'P 1'
_cell_length_a 2.7003
_cell_length_b 4.6528
_cell_length_c 4.6673
_cell_angle_alpha 109.61
_cell_angle_beta 90.00
_cell_angle_gamma 90.00
loop_
_atom_site_label
_atom_site_type_symbol
_atom_site_fract_x
_atom_site_fract_y
_atom_site_fract_z
Ir1 Ir 0.0000 0.0000 0.0000
Ir2 Ir 0.5000 0.0000 0.5000
Fe1 Fe 0.0000 0.5000 0.5000
Pt1 Pt 0.5000 0.5000 0.0000
```

DFT formation energy, kJ/mol of formula units: -9
Total magnetization, μB per atom: 0.88

=====

# 12
The following is a DFT calculation (GGA-PBEsol) of a relaxed structure of FeIr2Pt.

Structure (CIF):
```
data_FeIr2Pt
_symmetry_space_group_name_H-M 'P 1'
_symmetry_Int_Tables_number 1
_symmetry_space_group_name_Hall 'P 1'
_cell_length_a 2.6898
_cell_length_b 4.5065
_cell_length_c 5.2921
_cell_angle_alpha 115.20
_cell_angle_beta 104.72
_cell_angle_gamma 90.00
loop_
_atom_site_label
_atom_site_type_symbol
_atom_site_fract_x
_atom_site_fract_y
_atom_site_fract_z
Fe1 Fe 0.0000 0.5000 0.0000
Ir1 Ir 0.7276 0.7276 0.4552
Ir2 Ir 0.2724 0.2724 0.5448
Pt1 Pt 0.5000 0.0000 0.0000
```

DFT formation energy, kJ/mol of formula units: 55
Total magnetization, μB per atom: 0.74

=====

# 13
The following is a DFT calculation (GGA-PBEsol) of a relaxed structure of FeIr2Pt.

Structure (CIF):
```
data_FeIr2Pt
_symmetry_space_group_name_H-M 'P 1'
_symmetry_Int_Tables_number 1
_symmetry_space_group_name_Hall 'P 1'
_cell_length_a 2.6923
_cell_length_b 3.7905
_cell_length_c 5.3686
_cell_angle_alpha 90.00
_cell_angle_beta 90.00
_cell_angle_gamma 90.00
loop_
_atom_site_label
_atom_site_type_symbol
_atom_site_fract_x
_atom_site_fract_y
_atom_site_fract_z
Ir1 Ir 0.0000 0.0000 0.0000
Ir2 Ir 0.5000 0.5000 0.2380
Fe1 Fe 0.5000 0.5000 0.7544
Pt1 Pt 0.0000 0.0000 0.5076
```

DFT formation energy, kJ/mol of formula units: -10
Total magnetization, μB per atom: 0.64

=====

# 14
The following is a DFT calculation (GGA-PBEsol) of a relaxed structure of FeIrPt2.

Structure (CIF):
```
data_FeIrPt2
_symmetry_space_group_name_H-M 'P 1'
_symmetry_Int_Tables_number 1
_symmetry_space_group_name_Hall 'P 1'
_cell_length_a 2.7035
_cell_length_b 4.6876
_cell_length_c 4.6985
_cell_angle_alpha 100.36
_cell_angle_beta 90.00
_cell_angle_gamma 106.76
loop_
_atom_site_label
_atom_site_type_symbol
_atom_site_fract_x
_atom_site_fract_y
_atom_site_fract_z
Ir1 Ir 0.7566 0.5133 0.2527
Fe1 Fe 0.4968 0.9936 0.4992
Pt1 Pt 0.0029 0.0059 0.0083
Pt2 Pt 0.2436 0.4872 0.7398
```

DFT formation energy, kJ/mol of formula units: -16
Total magnetization, μB per atom: 0.81

=====

# 15
The following is a DFT calculation (GGA-PBEsol) of a relaxed structure of FeIrPt2.

Structure (CIF):
```
data_FeIrPt2
_symmetry_space_group_name_H-M 'P 1'
_symmetry_Int_Tables_number 1
_symmetry_space_group_name_Hall 'P 1'
_cell_length_a 2.7030
_cell_length_b 2.7030
_cell_length_c 7.5502
_cell_angle_alpha 90.00
_cell_angle_beta 90.00
_cell_angle_gamma 90.00
loop_
_atom_site_label
_atom_site_type_symbol
_atom_site_fract_x
_atom_site_fract_y
_atom_site_fract_z
Ir1 Ir 0.5000 0.5000 0.7304
Fe1 Fe 0.0000 0.0000 0.5066
Pt1 Pt 0.0000 0.0000 0.9937
Pt2 Pt 0.5000 0.5000 0.2693
```

DFT formation energy, kJ/mol of formula units: -25
Total magnetization, μB per atom: 0.56

=====

# 16
The following is a DFT calculation (GGA-PBEsol) of a relaxed structure of FeIr2Pt.

Structure (CIF):
```
data_FeIr2Pt
_symmetry_space_group_name_H-M 'P 1'
_symmetry_Int_Tables_number 1
_symmetry_space_group_name_Hall 'P 1'
_cell_length_a 3.8024
_cell_length_b 3.8024
_cell_length_c 4.6452
_cell_angle_alpha 114.16
_cell_angle_beta 114.16
_cell_angle_gamma 90.00
loop_
_atom_site_label
_atom_site_type_symbol
_atom_site_fract_x
_atom_site_fract_y
_atom_site_fract_z
Ir1 Ir 0.0000 0.0000 0.0000
Ir2 Ir 0.2500 0.7500 0.5000
Fe1 Fe 0.7500 0.2500 0.5000
Pt1 Pt 0.5000 0.5000 0.0000
```

DFT formation energy, kJ/mol of formula units: -13
Total magnetization, μB per atom: 0.77

=====

# 17
The following is a DFT calculation (GGA-PBEsol) of a relaxed structure of Fe4IrPt.

Structure (CIF):
```
data_Fe4IrPt
_symmetry_space_group_name_H-M 'P 1'
_symmetry_Int_Tables_number 1
_symmetry_space_group_name_Hall 'P 1'
_cell_length_a 4.6703
_cell_length_b 4.6703
_cell_length_c 4.6703
_cell_angle_alpha 60.00
_cell_angle_beta 60.00
_cell_angle_gamma 60.00
loop_
_atom_site_label
_atom_site_type_symbol
_atom_site_fract_x
_atom_site_fract_y
_atom_site_fract_z
Fe1 Fe 0.3750 0.3750 0.3750
Fe2 Fe 0.3750 0.3750 0.8749
Fe3 Fe 0.8749 0.3750 0.3750
Fe4 Fe 0.3750 0.8749 0.3750
Ir1 Ir 0.7500 0.7500 0.7500
Pt1 Pt 0.0000 0.0000 0.0000
```

DFT formation energy, kJ/mol of formula units: 5
Total magnetization, μB per atom: 1.56

=====

# 18
The following is a DFT calculation (GGA-PBEsol) of a relaxed structure of FeIrPt2.

Structure (CIF):
```
data_FeIrPt2
_symmetry_space_group_name_H-M 'P 1'
_symmetry_Int_Tables_number 1
_symmetry_space_group_name_Hall 'P 1'
_cell_length_a 3.8460
_cell_length_b 3.8460
_cell_length_c 4.6522
_cell_angle_alpha 114.42
_cell_angle_beta 114.42
_cell_angle_gamma 90.00
loop_
_atom_site_label
_atom_site_type_symbol
_atom_site_fract_x
_atom_site_fract_y
_atom_site_fract_z
Ir1 Ir 0.7500 0.2500 0.5000
Fe1 Fe 0.5000 0.5000 0.0000
Pt1 Pt 0.0000 0.0000 0.0000
Pt2 Pt 0.2500 0.7500 0.5000
```

DFT formation energy, kJ/mol of formula units: -21
Total magnetization, μB per atom: 0.75

=====

# 19
The following is a DFT calculation (GGA-PBEsol) of a relaxed structure of FeIr2Pt.

Structure (CIF):
```
data_FeIr2Pt
_symmetry_space_group_name_H-M 'P 1'
_symmetry_Int_Tables_number 1
_symmetry_space_group_name_Hall 'P 1'
_cell_length_a 2.6753
_cell_length_b 2.6753
_cell_length_c 9.0377
_cell_angle_alpha 90.00
_cell_angle_beta 90.00
_cell_angle_gamma 119.57
loop_
_atom_site_label
_atom_site_type_symbol
_atom_site_fract_x
_atom_site_fract_y
_atom_site_fract_z
Fe1 Fe 0.5000 0.5000 0.0000
Ir1 Ir 0.0000 0.0000 0.2334
Ir2 Ir 0.0000 0.0000 0.7666
Pt1 Pt 0.5000 0.5000 0.5000
```

DFT formation energy, kJ/mol of formula units: 72
Total magnetization, μB per atom: 0.80

=====

# 20
The following is a DFT calculation (GGA-PBEsol) of a relaxed structure of FeIrPt2.

Structure (CIF):
```
data_FeIrPt2
_symmetry_space_group_name_H-M 'P 1'
_symmetry_Int_Tables_number 1
_symmetry_space_group_name_Hall 'P 1'
_cell_length_a 4.3262
_cell_length_b 4.3262
_cell_length_c 4.3262
_cell_angle_alpha 60.00
_cell_angle_beta 60.00
_cell_angle_gamma 60.00
loop_
_atom_site_label
_atom_site_type_symbol
_atom_site_fract_x
_atom_site_fract_y
_atom_site_fract_z
Fe1 Fe 0.0000 0.0000 0.0000
Ir1 Ir 0.5000 0.5000 0.5000
Pt1 Pt 0.7500 0.7500 0.7500
Pt2 Pt 0.2500 0.2500 0.2500
```

DFT formation energy, kJ/mol of formula units: 90
Total magnetization, μB per atom: 0.78